# PmPr4Th2

A geometry-optimized PmPr4Th2 structure (PBE-GGA, Alexandria via LeMat-Bulk).

a b c (Å): 3.6691 3.6691 62.7799
angles (deg): 90.00 90.00 120.00
With the nearest neighbours (Å) after each atom.
Space group R-3m (No. 166, hexagonal axes)
Inequivalent atoms, fractional coordinates:
Pm  0.0000  0.0000  0.0000 x3  6 Pr 3.66, 6 Pm 3.67
Pr  0.0000  0.0000  0.0966 x6  3 Th 3.65, 9 Pr 3.67-3.74
Pr  0.0000  0.0000  0.3808 x6  3 Pm 3.66, 9 Pr 3.67-3.74
Th  0.0000  0.0000  0.1893 x6  9 Th 3.55-3.67, 3 Pr 3.65

* formation energy from the elements: 39 meV/atom
* energy: -115.303 eV per cell

# Pm6PrTh2

A geometry-optimized Pm6PrTh2 structure (PBE-GGA, Alexandria via LeMat-Bulk).

a b c (Å): 3.6223 3.6223 27.2325
angles (deg): 90.00 90.00 120.00
With the nearest neighbours (Å) after each atom.
Space group P-6m2 (No. 187)
Inequivalent atoms, fractional coordinates:
Pm  0.0000  0.0000  0.0629 x2  7 Pm 3.42-3.62, 3 Th 3.56
Pm  0.0000  0.0000  0.2775 x2  9 Pm 3.62-3.67, 3 Th 3.63
Pm  0.3333  0.6667  0.3880 x2  9 Pm 3.62-3.67, 3 Pr 3.70
Pr  0.0000  0.0000  0.5000 x1  6 Pr 3.62, 6 Pm 3.70
Th  0.3333  0.6667  0.1687 x2  6 Pm 3.56-3.63, 6 Th 3.62

* formation energy from the elements: 78 meV/atom
* energy: -47.420 eV per cell

# PmPrTh14

A geometry-optimized PmPrTh14 structure (PBE-GGA, Alexandria via LeMat-Bulk).

a b c (Å): 11.6449 7.1896 12.4782
angles (deg): 90.00 90.00 90.00
With the nearest neighbours (Å) after each atom.
Space group Amm2 (No. 38)
Inequivalent atoms, fractional coordinates:
Pm  0.0000  0.0000  0.0000 x2  10 Th 3.58-3.62, 2 Pr 3.59
Pr  0.0000  0.0000  0.5002 x2  10 Th 3.57-3.63, 2 Pm 3.59
Th  0.0000  0.2504  0.2476 x4  2 Pr 3.57-3.63, 2 Pm 3.58-3.62, 8 Th 3.58-3.61
Th  0.2515  0.0000  0.1663 x4  11 Th 3.56-3.61, 1 Pm 3.59
Th  0.2521  0.0000  0.6665 x4  11 Th 3.55-3.61, 1 Pr 3.59
Th  0.2526  0.2503  0.4154 x8  10 Th 3.55-3.61, 1 Pm 3.60, 1 Pr 3.61
Th  0.5000  0.0000  0.3323 x2  12 Th 3.55-3.60
Th  0.5000  0.0000  0.8323 x2  12 Th 3.55-3.60
Th  0.5000  0.2499  0.0823 x4  12 Th 3.56-3.60

* formation energy from the elements: 43 meV/atom
* energy: -225.426 eV per cell

# PmPr3Th2

A geometry-optimized PmPr3Th2 structure (PBE-GGA, Alexandria via LeMat-Bulk).

a b c (Å): 5.1413 15.4255 5.2126
angles (deg): 90.00 90.00 90.00
With the nearest neighbours (Å) after each atom.
Space group Cmmm (No. 65)
Inequivalent atoms, fractional coordinates:
Pm  0.0000  0.0000  0.0000 x2  8 Pr 3.66, 4 Th 3.69
Pr  0.0000  0.3307  0.0000 x4  4 Pr 3.58-3.69, 6 Th 3.60-3.66, 2 Pm 3.66
Pr  0.0000  0.5000  0.5000 x2  4 Pm 3.66, 4 Th 3.67, 4 Pr 3.69
Th  0.0000  0.1696  0.5000 x4  2 Th 3.57, 8 Pr 3.60-3.67, 2 Pm 3.69

* formation energy from the elements: 75 meV/atom
* energy: -66.957 eV per cell

# Pm6Pr4Th

A geometry-optimized Pm6Pr4Th structure (PBE-GGA, Alexandria via LeMat-Bulk).

a b c (Å): 5.9915 9.7824 26.1759
angles (deg): 90.00 90.00 90.00
With the nearest neighbours (Å) after each atom.
Space group Cmcm (No. 63)
Inequivalent atoms, fractional coordinates:
Pm  0.0000  0.0000  0.0000 x4  8 Pr 3.27-3.64
Pm  0.0000  0.0621  0.2500 x4  2 Pr 3.32, 3 Th 3.33-3.38, 2 Pm 3.63
Pm  0.0000  0.2955  0.6033 x8  6 Pr 3.38-3.77, 1 Pm 3.74
Pm  0.0000  0.3886  0.1837 x8  5 Pm 3.47-3.86, 4 Pr 3.63-3.76, 3 Th 3.69-3.83
Pr  0.0000  0.0545  0.1231 x8  6 Pm 3.27-3.63, 1 Pr 3.58
Pr  0.0000  0.3530  0.0439 x8  8 Pm 3.52-3.89, 2 Pr 3.58-3.68
Th  0.0000  0.2783  0.7500 x4  5 Pm 3.33-3.69

* formation energy from the elements: 131 meV/atom
* energy: -214.399 eV per cell

# PmPrTh

A geometry-optimized PmPrTh structure (PBE-GGA, Alexandria via LeMat-Bulk).

a b c (Å): 3.6473 3.6473 15.4903
angles (deg): 90.00 90.00 90.00
With the nearest neighbours (Å) after each atom.
Space group I4mm (No. 107)
Inequivalent atoms, fractional coordinates:
Pm  0.0000  0.0000  0.0000 x2  4 Th 3.53, 4 Pm 3.65, 4 Pr 3.86
Pr  0.0000  0.0000  0.6854 x2  4 Th 3.56, 4 Pr 3.65, 4 Pm 3.86
Th  0.0000  0.0000  0.3442 x2  4 Pm 3.53, 4 Pr 3.56, 4 Th 3.65

* formation energy from the elements: 30 meV/atom
* energy: -33.718 eV per cell
* energy above the most stable polymorph in this dataset: 9 meV per atom

# Pm4Pr2Th3

A geometry-optimized Pm4Pr2Th3 structure (PBE-GGA, Alexandria via LeMat-Bulk).

a b c (Å): 3.6096 3.6096 27.3237
angles (deg): 90.00 90.00 120.00
With the nearest neighbours (Å) after each atom.
Space group P3m1 (No. 156)
Inequivalent atoms, fractional coordinates:
Pm  0.0000  0.0000  0.0000 x1  1 Pr 3.47, 3 Th 3.56, 6 Pm 3.61
Pm  0.0000  0.0000  0.2142 x1  9 Pm 3.61-3.69, 3 Th 3.63
Pm  0.3333  0.6667  0.3259 x1  3 Th 3.61, 9 Pm 3.61-3.69
Pm  0.3333  0.6667  0.5412 x1  3 Th 3.60, 6 Pm 3.61, 3 Pr 3.76
Pr  0.0000  0.0000  0.6556 x1  6 Pr 3.61, 3 Th 3.65, 3 Pm 3.76
Pr  0.0000  0.0000  0.8730 x1  1 Pm 3.47, 3 Th 3.61, 6 Pr 3.61
Th  0.0000  0.0000  0.4338 x1  6 Pm 3.60-3.61, 6 Th 3.61
Th  0.3333  0.6667  0.1056 x1  6 Pm 3.56-3.63, 6 Th 3.61
Th  0.3333  0.6667  0.7652 x1  6 Pr 3.61-3.65, 6 Th 3.61

* formation energy from the elements: 84 meV/atom
* energy: -50.061 eV per cell

# Pm5Pr2Th

A geometry-optimized Pm5Pr2Th structure (PBE-GGA, Alexandria via LeMat-Bulk).

a b c (Å): 7.2923 14.6022 5.2047
angles (deg): 90.00 90.00 90.00
With the nearest neighbours (Å) after each atom.
Space group Pbam (No. 55)
Inequivalent atoms, fractional coordinates:
Pm  0.0000  0.0000  0.0000 x2  2 Th 3.65, 4 Pr 3.66, 6 Pm 3.67-3.68
Pm  0.0032  0.2520  0.0000 x4  1 Th 3.62, 4 Pr 3.64-3.73, 7 Pm 3.65-3.72
Pm  0.2414  0.6218  0.5000 x4  4 Pr 3.55-3.74, 2 Th 3.61, 6 Pm 3.65-3.72
Pr  0.2456  0.3777  0.5000 x4  10 Pm 3.55-3.74, 2 Th 3.63
Th  0.0000  0.5000  0.0000 x2  8 Pm 3.61-3.65, 4 Pr 3.63

* formation energy from the elements: 34 meV/atom
* energy: -80.920 eV per cell

# PmPrTh2

A geometry-optimized PmPrTh2 structure (PBE-GGA, Alexandria via LeMat-Bulk).

a b c (Å): 3.5794 3.5794 10.4716
angles (deg): 90.00 90.00 90.00
With the nearest neighbours (Å) after each atom.
Space group P4/mmm (No. 123)
Inequivalent atoms, fractional coordinates:
Pm  0.0000  0.0000  0.0000 x1  4 Pm 3.58, 8 Th 3.63
Pr  0.0000  0.0000  0.5000 x1  4 Pr 3.58, 8 Th 3.66
Th  0.5000  0.5000  0.2480 x2  4 Th 3.58, 4 Pm 3.63, 4 Pr 3.66

* formation energy from the elements: 93 meV/atom
* energy: -23.997 eV per cell
* energy above the most stable polymorph in this dataset: 63 meV per atom

# Pm3Pr2Th

A geometry-optimized Pm3Pr2Th structure (PBE-GGA, Alexandria via LeMat-Bulk).

a b c (Å): 15.5594 5.1842 11.5386
angles (deg): 90.00 116.52 90.00
With the nearest neighbours (Å) after each atom.
Space group C2/m (No. 12)
Inequivalent atoms, fractional coordinates:
Pm  0.0396  0.0000  0.3697 x4  6 Pm 3.60-3.72, 4 Pr 3.61-3.75, 2 Th 3.64
Pm  0.1195  0.0000  0.1212 x4  3 Pm 3.52-3.76, 4 Th 3.59-3.61, 5 Pr 3.63-3.74
Pm  0.1225  0.5000  0.6262 x4  6 Pm 3.62-3.76, 1 Th 3.66, 5 Pr 3.67-3.72
Pr  0.2052  0.5000  0.3726 x4  1 Th 3.61, 8 Pm 3.64-3.75, 3 Pr 3.69-3.71
Pr  0.2064  0.0000  0.8772 x4  6 Pm 3.61-3.74, 3 Pr 3.63-3.71, 3 Th 3.67-3.69
Th  0.0399  0.5000  0.8778 x4  1 Th 3.55, 7 Pm 3.59-3.66, 4 Pr 3.61-3.69

* formation energy from the elements: 41 meV/atom
* energy: -123.930 eV per cell

# PmPrTh2

A geometry-optimized PmPrTh2 structure (PBE-GGA, Alexandria via LeMat-Bulk).

a b c (Å): 5.0522 5.0522 5.2332
angles (deg): 90.00 90.00 90.00
With the nearest neighbours (Å) after each atom.
Space group P4/mmm (No. 123)
Inequivalent atoms, fractional coordinates:
Pm  0.0000  0.0000  0.0000 x1  4 Pr 3.57, 8 Th 3.64
Pr  0.5000  0.5000  0.0000 x1  4 Pm 3.57, 8 Th 3.64
Th  0.0000  0.5000  0.5000 x2  4 Th 3.57, 4 Pr 3.64, 4 Pm 3.64

* formation energy from the elements: 88 meV/atom
* energy: -24.018 eV per cell
* energy above the most stable polymorph in this dataset: 58 meV per atom

# Pm2PrTh

A geometry-optimized Pm2PrTh structure (PBE-GGA, Alexandria via LeMat-Bulk).

a b c (Å): 3.6457 3.6457 35.7988
angles (deg): 90.00 90.00 120.00
With the nearest neighbours (Å) after each atom.
Space group R3m (No. 160, hexagonal axes)
Inequivalent atoms, fractional coordinates:
Pm  0.0000  0.0000  0.0000 x3  3 Th 3.60, 6 Pm 3.65, 3 Pr 3.70
Pm  0.0000  0.0000  0.1642 x3  3 Th 3.63, 6 Pm 3.65, 3 Pr 3.68
Pr  0.0000  0.0000  0.5817 x3  6 Pr 3.65, 6 Pm 3.68-3.70
Th  0.0000  0.0000  0.7483 x3  6 Pm 3.60-3.63, 6 Th 3.65

* formation energy from the elements: 45 meV/atom
* energy: -64.567 eV per cell
* energy above the most stable polymorph in this dataset: 24 meV per atom